PmPr2NdY | PBE | optimized geometry

```
PmPr2NdY
1.0
6.8898 0.0000 0.0000
0.0000 8.0856 1.4038
0.0000 -1.1102 6.2239
Pm Pr Nd Y
2 4 2 2
direct
0.5813 0.0000 0.2500
0.4187 0.0000 0.7500
0.6929 0.6962 0.7517
0.6929 0.3038 0.7483
0.3071 0.6962 0.2517
0.3071 0.3038 0.2483
0.0000 0.0000 0.0000
0.0000 0.0000 0.5000
0.1568 0.5000 0.7500
0.8432 0.5000 0.2500
```

- ΔE_f: 0.24 eV per atom
- E: -4.8650 eV/atom
- N(E_F): 1.32 states/eV per atom